[1]
# Nd6InSn2Te3 PBE-GGA optimized geometry
# E_form (uncorrected): -12.48 eV per formula unit
# Theoretical density: 6773 kg/m³
data_Nd6InSn2Te3
_cell_length_a 19.948
_cell_length_b 4.493
_cell_length_c 9.125
_cell_angle_alpha 90.00
_cell_angle_beta 106.33
_cell_angle_gamma 90.00
_space_group_name_H-M_alt 'C 1 2/m 1'
_space_group_IT_number 12
_space_group_name_Hall '-C 2y'
loop_
_atom_site_label
_atom_site_type_symbol
_atom_site_fract_x
_atom_site_fract_y
_atom_site_fract_z
Nd1 Nd 0.000 0.000 0.247
Nd2 Nd 0.167 0.500 0.585
Nd3 Nd 0.169 0.500 0.075
In1 In 0.000 0.500 0.500
Sn1 Sn 0.165 0.000 0.828
Te1 Te 0.000 0.500 0.000
Te2 Te 0.167 0.000 0.330

***

[2]
# NdYInSn PBE-GGA optimized geometry
# Theoretical density: 6588 kg/m³
# Energy of formation: -639.9 meV/atom
# ΔE to the lowest computed polymorph: 0.0 kJ/mol of atoms
data_NdYInSn
_cell_length_a 4.373
_cell_length_b 4.628
_cell_length_c 11.627
_cell_angle_alpha 90.00
_cell_angle_beta 90.00
_cell_angle_gamma 90.00
_space_group_name_H-M_alt 'A m m 2'
_space_group_IT_number 38
_space_group_name_Hall 'A 2 -2'
loop_
_atom_site_label
_atom_site_type_symbol
_atom_site_fract_x
_atom_site_fract_y
_atom_site_fract_z
Nd1 Nd 0.000 0.000 0.000
Y1 Y 0.500 0.000 0.726
In1 In 0.500 0.000 0.448
Sn1 Sn 0.000 0.000 0.276

***

[3]
# NdYInSn PBE-GGA optimized geometry
# Theoretical density: 6888 kg/m³
# Energy of formation: -532.1 meV/atom
# ΔE to the lowest computed polymorph: 10.4 kJ/mol of atoms
data_NdYInSn
_cell_length_a 7.663
_cell_length_b 7.663
_cell_length_c 7.663
_cell_angle_alpha 90.00
_cell_angle_beta 90.00
_cell_angle_gamma 90.00
_space_group_name_H-M_alt 'F -4 3 m'
_space_group_IT_number 216
_space_group_name_Hall 'F -4 2 3'
loop_
_atom_site_label
_atom_site_type_symbol
_atom_site_fract_x
_atom_site_fract_y
_atom_site_fract_z
Nd1 Nd 0.000 0.000 0.000
Y1 Y 0.000 0.000 0.500
In1 In 0.250 0.250 0.750
Sn1 Sn 0.250 0.250 0.250

***

[4]
# SrNdIn6 PBE-GGA optimized geometry
# Theoretical density: 6967 kg/m³
# Energy of formation: -382.0 meV/atom
data_SrNdIn6
_cell_length_a 4.783
_cell_length_b 4.783
_cell_length_c 9.594
_cell_angle_alpha 90.00
_cell_angle_beta 90.00
_cell_angle_gamma 90.00
_space_group_name_H-M_alt 'P 4/m m m'
_space_group_IT_number 123
_space_group_name_Hall '-P 4 2'
loop_
_atom_site_label
_atom_site_type_symbol
_atom_site_fract_x
_atom_site_fract_y
_atom_site_fract_z
Sr1 Sr 0.000 0.000 0.000
Nd1 Nd 0.000 0.000 0.500
In1 In 0.000 0.500 0.255
In2 In 0.500 0.500 0.000
In3 In 0.500 0.500 0.500

***

[5]
# SrNd2In2 PBE-GGA optimized geometry
# Theoretical density: 6264 kg/m³
# Energy of formation: -366.0 meV/atom
data_SrNd2In2
_cell_length_a 10.686
_cell_length_b 5.364
_cell_length_c 7.303
_cell_angle_alpha 90.00
_cell_angle_beta 129.89
_cell_angle_gamma 90.00
_space_group_name_H-M_alt 'C 1 2/m 1'
_space_group_IT_number 12
_space_group_name_Hall '-C 2y'
loop_
_atom_site_label
_atom_site_type_symbol
_atom_site_fract_x
_atom_site_fract_y
_atom_site_fract_z
Sr1 Sr 0.000 0.000 0.000
Nd1 Nd 0.197 0.000 0.689
In1 In 0.018 0.500 0.717

***

[6]
# SrNd2In3 PBE-GGA optimized geometry
# Theoretical density: 6520 kg/m³
# Energy of formation: -458.1 meV/atom
data_SrNd2In3
_cell_length_a 3.933
_cell_length_b 3.933
_cell_length_c 11.868
_cell_angle_alpha 90.00
_cell_angle_beta 90.00
_cell_angle_gamma 90.00
_space_group_name_H-M_alt 'P 4/m m m'
_space_group_IT_number 123
_space_group_name_Hall '-P 4 2'
loop_
_atom_site_label
_atom_site_type_symbol
_atom_site_fract_x
_atom_site_fract_y
_atom_site_fract_z
Sr1 Sr 0.000 0.000 0.000
Nd1 Nd 0.000 0.000 0.337
In1 In 0.500 0.500 0.181
In2 In 0.500 0.500 0.500

***

[7]
# SrNd5In4 PBE-GGA optimized geometry
# Theoretical density: 6554 kg/m³
# Energy of formation: -353.5 meV/atom
data_SrNd5In4
_cell_length_a 3.828
_cell_length_b 3.828
_cell_length_c 21.925
_cell_angle_alpha 90.00
_cell_angle_beta 90.00
_cell_angle_gamma 90.00
_space_group_name_H-M_alt 'P 4/m m m'
_space_group_IT_number 123
_space_group_name_Hall '-P 4 2'
loop_
_atom_site_label
_atom_site_type_symbol
_atom_site_fract_x
_atom_site_fract_y
_atom_site_fract_z
Sr1 Sr 0.000 0.000 0.000
Nd1 Nd 0.500 0.500 0.139
Nd2 Nd 0.500 0.500 0.319
Nd3 Nd 0.500 0.500 0.500
In1 In 0.000 0.000 0.226
In2 In 0.000 0.000 0.409

***

[8]
# SrNd5In3 PBE-GGA optimized geometry
# Theoretical density: 6691 kg/m³
# Energy of formation: -340.7 meV/atom
data_SrNd5In3
_cell_length_a 9.6907
_cell_length_b 9.6907
_cell_length_c 7.0383
_cell_angle_alpha 90.00
_cell_angle_beta 90.00
_cell_angle_gamma 120.00
_space_group_name_H-M_alt 'P 63/m c m'
_space_group_IT_number 193
_space_group_name_Hall '-P 6c 2'
loop_
_atom_site_label
_atom_site_type_symbol
_atom_site_fract_x
_atom_site_fract_y
_atom_site_fract_z
Sr1 Sr 0.0000 0.0000 0.0000
Nd1 Nd 0.0000 0.3381 0.2500
Nd2 Nd 0.3333 0.6667 0.0000
In1 In 0.0000 0.3329 0.7500

***

| no. | volume (A^3/atom) |
| --- | --- |
| 1 | 32.697 |
| 2 | 29.409 |
| 3 | 28.125 |
| 4 | 27.434 |
| 5 | 32.115 |
| 6 | 30.588 |
| 7 | 32.128 |
| 8 | 31.802 |